No. 1
TaCo2Mo | PBE-GGA | optimized geometry

a b c (Å): 2.6842 2.6842 7.7963
angles (deg): 90.00 90.00 96.71
Positions (direct):
Ta: 0.0000 0.0000 0.0000
Co: 0.0000 0.0000 0.5483
Co: 0.5000 0.5000 0.7427
Mo: 0.5000 0.5000 0.3014

Computed properties:
As for the density of states at the Fermi level: 3.56 states/eV per cell. For the energy above the most stable polymorph in this dataset, the calculation gives 0.125 eV/atom. For the formation energy from the elements, the calculation gives 0.0722 eV per atom.

=====

No. 2
TaCo4Mo | PBE-GGA | optimized geometry

a b c (Å): 6.3274 6.3274 6.3274
angles (deg): 139.48 101.96 91.87
Positions (direct):
Ta: 0.3759 0.1259 0.2500
Ta: 0.6241 0.8741 0.7500
Co: 0.0505 0.1348 0.9157
Co: 0.2019 0.6174 0.5845
Co: 0.2809 0.8652 0.4157
Co: 0.4671 0.3826 0.0845
Co: 0.5329 0.6174 0.9155
Co: 0.7191 0.1348 0.5843
Co: 0.7981 0.3826 0.4155
Co: 0.9495 0.8652 0.0843
Mo: 0.1283 0.3783 0.7500
Mo: 0.8717 0.6217 0.2500

Computed properties:
As for the density of states at the Fermi level: 21.38 states/eV per cell. For the energy above the most stable polymorph in this dataset, the calculation gives 0.136 eV/atom. For the formation energy from the elements, the calculation gives 0.0288 eV per atom.

=====

No. 3
TaCo4Mo | PBE-GGA | optimized geometry

a b c (Å): 4.7194 4.7194 4.7194
angles (deg): 60.00 60.00 60.00
Positions (direct):
Ta: 0.0000 0.0000 0.0000
Co: 0.1258 0.6247 0.6247
Co: 0.6247 0.1258 0.6247
Co: 0.6247 0.6247 0.1258
Co: 0.6247 0.6247 0.6247
Mo: 0.2500 0.2500 0.2500

Computed properties:
As for the density of states at the Fermi level: 10.56 states/eV per cell. For the energy above the most stable polymorph in this dataset, the calculation gives 0.022 eV/atom. For the formation energy from the elements, the calculation gives -0.0857 eV per atom.

=====

No. 4
Ta3Co2Mo | PBE-GGA | optimized geometry

a b c (Å): 6.0894 4.9208 4.9984
angles (deg): 75.74 51.55 52.71
Positions (direct):
Ta: 0.0000 0.0000 0.0000
Ta: 0.1808 0.5020 0.4980
Ta: 0.5020 0.1808 0.8192
Co: 0.0914 0.0914 0.4086
Co: 0.5914 0.5914 0.9086
Mo: 0.6812 0.6812 0.3188

Computed properties:
As for the density of states at the Fermi level: 5.19 states/eV per cell. For the formation energy from the elements, the calculation gives -0.1985 eV per atom.

=====

No. 5
Ta2CoMo | PBE-GGA | optimized geometry

a b c (Å): 2.7491 2.7491 8.3185
angles (deg): 90.00 90.00 90.00
Positions (direct):
Ta: 0.0000 0.0000 0.2158
Ta: 0.0000 0.0000 0.7842
Co: 0.5000 0.5000 0.0000
Mo: 0.5000 0.5000 0.5000

Computed properties:
As for the density of states at the Fermi level: 2.78 states/eV per cell. For the energy above the most stable polymorph in this dataset, the calculation gives 0.170 eV/atom. For the formation energy from the elements, the calculation gives 0.0127 eV per atom.

=====

No. 6
Ta4CoMo | PBE-GGA | optimized geometry

a b c (Å): 5.3460 5.3460 5.3460
angles (deg): 60.00 60.00 60.00
Positions (direct):
Ta: 0.3758 0.3758 0.3758
Ta: 0.3758 0.3758 0.8725
Ta: 0.3758 0.8725 0.3758
Ta: 0.8725 0.3758 0.3758
Co: 0.0000 0.0000 0.0000
Mo: 0.7500 0.7500 0.7500

Computed properties:
As for the density of states at the Fermi level: 7.33 states/eV per cell. For the formation energy from the elements, the calculation gives 0.6076 eV per atom.

=====

No. 7
TaCoMo2 | PBE-GGA | optimized geometry

a b c (Å): 2.7224 4.3877 5.1966
angles (deg): 90.00 99.53 90.00
Positions (direct):
Ta: 0.0000 0.0000 0.0000
Co: 0.7456 0.5000 0.2342
Mo: 0.2564 0.5000 0.7319
Mo: 0.4950 0.0000 0.4975

Computed properties:
As for the density of states at the Fermi level: 4.06 states/eV per cell. For the energy above the most stable polymorph in this dataset, the calculation gives 0.090 eV/atom. For the formation energy from the elements, the calculation gives 0.0721 eV per atom.

=====

No. 8
TaCo2Mo | PBE-GGA | optimized geometry

a b c (Å): 4.5615 4.5615 2.7324
angles (deg): 90.20 90.20 107.21
Positions (direct):
Ta: 0.0000 0.0000 0.0000
Co: 0.0000 0.5000 0.5000
Co: 0.5000 0.0000 0.5000
Mo: 0.5000 0.5000 0.0000

Computed properties:
As for the density of states at the Fermi level: 4.09 states/eV per cell. For the energy above the most stable polymorph in this dataset, the calculation gives 0.015 eV/atom. For the formation energy from the elements, the calculation gives -0.0379 eV per atom.

=====

No. 9
TaCo2Mo | PBE-GGA | optimized geometry

a b c (Å): 4.2983 4.2983 4.2983
angles (deg): 60.00 60.00 60.00
Positions (direct):
Ta: 0.0000 0.0000 0.0000
Co: 0.2500 0.2500 0.2500
Co: 0.7500 0.7500 0.7500
Mo: 0.5000 0.5000 0.5000

Computed properties:
As for the density of states at the Fermi level: 7.50 states/eV per cell. For the energy above the most stable polymorph in this dataset, the calculation gives 0.131 eV/atom. For the formation energy from the elements, the calculation gives 0.0779 eV per atom.

=====

No. 10
TaCoMo2 | PBE-GGA | optimized geometry

a b c (Å): 9.3977 9.3977 9.3977
angles (deg): 16.97 16.97 16.97
Positions (direct):
Ta: 0.0000 0.0000 0.0000
Co: 0.7451 0.7451 0.7451
Mo: 0.2413 0.2413 0.2413
Mo: 0.4856 0.4856 0.4856

Computed properties:
As for the density of states at the Fermi level: 4.62 states/eV per cell. For the energy above the most stable polymorph in this dataset, the calculation gives 0.327 eV/atom. For the formation energy from the elements, the calculation gives 0.3092 eV per atom.

=====

No. 11
Ta2CoMo | PBE-GGA | optimized geometry

a b c (Å): 3.2416 4.3012 4.5464
angles (deg): 90.00 90.00 90.00
Positions (direct):
Ta: 0.0000 0.0000 0.0000
Ta: 0.5000 0.0000 0.5000
Co: 0.0000 0.5000 0.5000
Mo: 0.5000 0.5000 0.0000

Computed properties:
As for the density of states at the Fermi level: 3.29 states/eV per cell. For the energy above the most stable polymorph in this dataset, the calculation gives 0.189 eV/atom. For the formation energy from the elements, the calculation gives 0.0321 eV per atom.

=====

No. 12
TaCoMo2 | PBE-GGA | optimized geometry

a b c (Å): 5.0799 5.0799 2.6965
angles (deg): 90.00 90.00 117.27
Positions (direct):
Ta: 0.0000 0.0000 0.0000
Co: 0.5000 0.5000 0.0000
Mo: 0.0000 0.5000 0.5000
Mo: 0.5000 0.0000 0.5000

Computed properties:
As for the density of states at the Fermi level: 5.07 states/eV per cell. For the energy above the most stable polymorph in this dataset, the calculation gives 0.280 eV/atom. For the formation energy from the elements, the calculation gives 0.2624 eV per atom.

=====

No. 13
TaCo2Mo | PBE-GGA | optimized geometry

a b c (Å): 8.9685 8.9685 8.9685
angles (deg): 17.51 17.51 17.51
Positions (direct):
Ta: 0.0000 0.0000 0.0000
Co: 0.4886 0.4886 0.4886
Co: 0.7505 0.7505 0.7505
Mo: 0.2353 0.2353 0.2353

Computed properties:
As for the density of states at the Fermi level: 6.06 states/eV per cell. For the energy above the most stable polymorph in this dataset, the calculation gives 0.352 eV/atom. For the formation energy from the elements, the calculation gives 0.2986 eV per atom.

=====

No. 14
TaCo4Mo | PBE-GGA | optimized geometry

a b c (Å): 4.7278 4.7278 7.6880
angles (deg): 90.00 90.00 120.00
Positions (direct):
Ta: 0.3333 0.6667 0.0764
Ta: 0.6667 0.3333 0.9236
Co: 0.0000 0.0000 0.0000
Co: 0.0000 0.0000 0.5000
Co: 0.1690 0.3381 0.7504
Co: 0.1690 0.8310 0.7504
Co: 0.3381 0.1690 0.2496
Co: 0.6619 0.8310 0.7504
Co: 0.8310 0.1690 0.2496
Co: 0.8310 0.6619 0.2496
Mo: 0.3333 0.6667 0.4468
Mo: 0.6667 0.3333 0.5532

Computed properties:
As for the density of states at the Fermi level: 17.98 states/eV per cell. For the energy above the most stable polymorph in this dataset, the calculation gives 0.000 eV/atom. For the formation energy from the elements, the calculation gives -0.1073 eV per atom.

=====

No. 15
TaCo2Mo | PBE-GGA | optimized geometry

a b c (Å): 4.6132 4.6132 4.6318
angles (deg): 99.47 99.47 34.44
Positions (direct):
Ta: 0.0000 0.0000 0.0000
Co: 0.4816 0.4816 0.4821
Co: 0.7497 0.7497 0.1873
Mo: 0.2276 0.2276 0.6556

Computed properties:
As for the density of states at the Fermi level: 4.31 states/eV per cell. For the energy above the most stable polymorph in this dataset, the calculation gives 0.073 eV/atom. For the formation energy from the elements, the calculation gives 0.0200 eV per atom.

=====

No. 16
TaCoMo2 | PBE-GGA | optimized geometry

a b c (Å): 2.7028 2.7028 8.2992
angles (deg): 90.00 90.00 90.00
Positions (direct):
Ta: 0.0000 0.0000 0.0000
Co: 0.5000 0.5000 0.2309
Mo: 0.0000 0.0000 0.4384
Mo: 0.5000 0.5000 0.7160

Computed properties:
As for the density of states at the Fermi level: 4.05 states/eV per cell. For the energy above the most stable polymorph in this dataset, the calculation gives 0.093 eV/atom. For the formation energy from the elements, the calculation gives 0.0756 eV per atom.

=====

No. 17
TaCo2Mo | PBE-GGA | optimized geometry

a b c (Å): 3.8424 3.8424 3.6775
angles (deg): 90.00 90.00 90.00
Positions (direct):
Ta: 0.0000 0.0000 0.0000
Co: 0.0000 0.5000 0.5000
Co: 0.5000 0.0000 0.5000
Mo: 0.5000 0.5000 0.0000

Computed properties:
As for the density of states at the Fermi level: 3.88 states/eV per cell. For the energy above the most stable polymorph in this dataset, the calculation gives 0.000 eV/atom. For the formation energy from the elements, the calculation gives -0.0532 eV per atom.

=====

No. 18
TaCo2Mo | PBE-GGA | optimized geometry

a b c (Å): 2.7305 4.3174 4.6447
angles (deg): 90.00 95.74 90.00
Positions (direct):
Ta: 0.0000 0.0000 0.0000
Co: 0.5795 0.0000 0.4852
Co: 0.5805 0.5000 0.1424
Mo: 0.1983 0.5000 0.6217

Computed properties:
As for the density of states at the Fermi level: 4.28 states/eV per cell. For the energy above the most stable polymorph in this dataset, the calculation gives 0.005 eV/atom. For the formation energy from the elements, the calculation gives -0.0481 eV per atom.

=====

No. 19
Ta3CoMo | PBE-GGA | optimized geometry

a b c (Å): 4.7675 4.7675 4.7675
angles (deg): 90.00 90.00 90.00
Positions (direct):
Ta: 0.0000 0.0000 0.5000
Ta: 0.0000 0.5000 0.0000
Ta: 0.5000 0.0000 0.0000
Co: 0.5000 0.5000 0.5000
Mo: 0.0000 0.0000 0.0000

Computed properties:
As for the density of states at the Fermi level: 8.52 states/eV per cell. For the energy above the most stable polymorph in this dataset, the calculation gives 0.916 eV/atom. For the formation energy from the elements, the calculation gives 1.8098 eV per atom.

=====

No. 20
TaCo3Mo | PBE-GGA | optimized geometry

a b c (Å): 4.3185 4.3185 4.3185
angles (deg): 90.00 90.00 90.00
Positions (direct):
Ta: 0.0000 0.0000 0.0000
Co: 0.0000 0.5000 0.5000
Co: 0.5000 0.0000 0.5000
Co: 0.5000 0.5000 0.0000
Mo: 0.5000 0.5000 0.5000

Computed properties:
As for the density of states at the Fermi level: 8.35 states/eV per cell. For the energy above the most stable polymorph in this dataset, the calculation gives 0.000 eV/atom. For the formation energy from the elements, the calculation gives 1.3531 eV per atom.

=====

No. 21
TaCo5Mo | PBE-GGA | optimized geometry

a b c (Å): 3.6204 3.6204 6.9698
angles (deg): 90.00 90.00 90.00
Positions (direct):
Ta: 0.0000 0.0000 0.0000
Co: 0.0000 0.5000 0.2651
Co: 0.0000 0.5000 0.7349
Co: 0.5000 0.0000 0.2651
Co: 0.5000 0.0000 0.7349
Co: 0.5000 0.5000 0.0000
Mo: 0.5000 0.5000 0.5000

Computed properties:
As for the density of states at the Fermi level: 9.40 states/eV per cell. For the formation energy from the elements, the calculation gives 0.1840 eV per atom.

=====

No. 22
Ta2Co6Mo | PBE-GGA | optimized geometry

a b c (Å): 5.0319 5.0319 5.3107
angles (deg): 90.00 90.00 120.00
Positions (direct):
Ta: 0.3333 0.6667 0.3489
Ta: 0.6667 0.3333 0.6511
Co: 0.1788 0.3576 0.8286
Co: 0.1788 0.8212 0.8286
Co: 0.3576 0.1788 0.1714
Co: 0.6424 0.8212 0.8286
Co: 0.8212 0.1788 0.1714
Co: 0.8212 0.6424 0.1714
Mo: 0.0000 0.0000 0.5000

Computed properties:
As for the density of states at the Fermi level: 13.25 states/eV per cell. For the formation energy from the elements, the calculation gives -0.0135 eV per atom.

=====

No. 23
TaCo2Mo | PBE-GGA | optimized geometry

a b c (Å): 5.3842 5.3842 5.3842
angles (deg): 103.90 103.90 121.31
Positions (direct):
Ta: 0.0000 0.0000 0.0000
Ta: 0.7500 0.2500 0.5000
Co: 0.1350 0.6250 0.0100
Co: 0.3750 0.3850 0.5100
Co: 0.6150 0.1250 0.9900
Co: 0.8750 0.8650 0.4900
Mo: 0.2500 0.7500 0.5000
Mo: 0.5000 0.5000 0.0000

Computed properties:
As for the density of states at the Fermi level: 5.73 states/eV per cell. For the energy above the most stable polymorph in this dataset, the calculation gives 0.468 eV/atom. For the formation energy from the elements, the calculation gives 0.4152 eV per atom.

=====

No. 24
Ta2CoMo | PBE-GGA | optimized geometry

a b c (Å): 2.7669 2.7669 8.4092
angles (deg): 90.00 90.00 102.96
Positions (direct):
Ta: 0.0000 0.0000 0.0000
Ta: 0.5000 0.5000 0.2843
Co: 0.5000 0.5000 0.7723
Mo: 0.0000 0.0000 0.5583

Computed properties:
As for the density of states at the Fermi level: 4.52 states/eV per cell. For the energy above the most stable polymorph in this dataset, the calculation gives 0.175 eV/atom. For the formation energy from the elements, the calculation gives 0.0180 eV per atom.

=====

No. 25
Ta3CoMo | PBE-GGA | optimized geometry

a b c (Å): 4.5398 4.5398 4.5398
angles (deg): 90.00 90.00 90.00
Positions (direct):
Ta: 0.0000 0.0000 0.5000
Ta: 0.0000 0.5000 0.0000
Ta: 0.5000 0.0000 0.0000
Co: 0.0000 0.0000 0.0000
Mo: 0.5000 0.5000 0.5000

Computed properties:
As for the density of states at the Fermi level: 7.19 states/eV per cell. For the energy above the most stable polymorph in this dataset, the calculation gives 0.000 eV/atom. For the formation energy from the elements, the calculation gives 0.8939 eV per atom.

=====

No. 26
TaCoMo2 | PBE-GGA | optimized geometry

a b c (Å): 2.7263 2.7263 8.3919
angles (deg): 90.00 90.00 105.08
Positions (direct):
Ta: 0.0000 0.0000 0.0000
Co: 0.5000 0.5000 0.2348
Mo: 0.0000 0.0000 0.4558
Mo: 0.5000 0.5000 0.7231

Computed properties:
As for the density of states at the Fermi level: 3.97 states/eV per cell. For the energy above the most stable polymorph in this dataset, the calculation gives 0.031 eV/atom. For the formation energy from the elements, the calculation gives 0.0131 eV per atom.

=====

No. 27
Ta2CoMo | PBE-GGA | optimized geometry

a b c (Å): 6.9763 6.9763 6.9763
angles (deg): 132.62 132.62 69.26
Positions (direct):
Ta: 0.0847 0.6250 0.9597
Ta: 0.3750 0.3347 0.4597
Ta: 0.6653 0.1250 0.0403
Ta: 0.8750 0.9153 0.5403
Co: 0.0000 0.0000 0.0000
Co: 0.7500 0.2500 0.5000
Mo: 0.2500 0.7500 0.5000
Mo: 0.5000 0.5000 0.0000

Computed properties:
As for the density of states at the Fermi level: 15.20 states/eV per cell. For the energy above the most stable polymorph in this dataset, the calculation gives 1.945 eV/atom. For the formation energy from the elements, the calculation gives 1.7878 eV per atom.

=====

No. 28
TaCoMo2 | PBE-GGA | optimized geometry

a b c (Å): 3.1888 4.3189 4.4303
angles (deg): 90.00 90.00 90.00
Positions (direct):
Ta: 0.0000 0.0000 0.0000
Co: 0.5000 0.5000 0.0000
Mo: 0.0000 0.5000 0.5000
Mo: 0.5000 0.0000 0.5000

Computed properties:
As for the density of states at the Fermi level: 3.03 states/eV per cell. For the energy above the most stable polymorph in this dataset, the calculation gives 0.016 eV/atom. For the formation energy from the elements, the calculation gives -0.0019 eV per atom.